Lu5Pd | Alexandria | PBE | optimized geometry; energy of formation from the pure elements = -0.167 eV per atom
1.0
-1.954 -2.424 -4.275
3.516 -0.740 -1.188
-1.870 -6.423 4.497
Lu Pd
5 1
Direct
0.000 0.356 0.711
0.000 0.644 0.289
0.500 0.500 0.000
0.500 0.829 0.658
0.500 0.171 0.342
0.000 0.000 0.000